The following is a PBE calculation of a relaxed UBe2CoH8 crystal, from the Alexandria database.

abc: 4.405 4.405 6.160
angles: 90.00 90.00 120.00
Each line ends with the local moment (μB).
Atoms (fractional coordinates):
H  0.847  0.153  0.188  0.00
H  0.333  0.667  0.517  -0.01
H  0.153  0.305  0.812  0.00
H  0.153  0.847  0.812  0.00
H  0.847  0.695  0.188  0.00
H  0.667  0.333  0.483  -0.01
H  0.305  0.153  0.188  0.00
H  0.695  0.847  0.812  0.00
Be  0.333  0.667  0.764  0.07
Be  0.667  0.333  0.236  0.07
U  0.000  0.000  0.500  2.82
Co  0.000  0.000  0.000  1.40

N(E_F) ... 6.802 states/eV/f.u.
Raw total energy ... -52.7 eV/f.u.
Total magnetization ... 4.86 μB/f.u.